This record from Alexandria via LeMat-Bulk describes a relaxed KVBrO2 crystal. The functional is PBE with a Hubbard U.

Cell: 3.9595 8.8679 7.9012 Å, 123.55 90.00 90.00°
Positions (direct):
Br  0.7500  0.0704  0.2893
V  0.2500  0.5969  0.4469
O  0.2500  0.4174  0.5076
K  0.2500  0.7206  0.0277
O  0.7500  0.5826  0.4924
V  0.7500  0.4031  0.5531
Br  0.2500  0.9296  0.7107
O  0.2500  0.5232  0.1994
K  0.7500  0.2794  0.9723
O  0.7500  0.4768  0.8006

The calculation puts the total DFT energy (no corrections) at -29.01 eV per formula unit.